Here is a geometry-optimized MgV2P2O8 structure from Alexandria via LeMat-Bulk. Energies are from PBE with a Hubbard U.

Results
* VASP energy: -7.37 eV/atom
* total moment: 6.00 μB/f.u.
* space group: C2/c, No. 15

a b c (Å): 8.4754 8.4754 17.5830
angles (deg): 115.16 115.16 32.88
Closest atoms and distances in Å follow each position.
Sites, in units of the cell vectors:
Mg (0.0119, 0.3229, 0.1663)  5 O 2.11-2.22
Mg (0.3229, 0.0119, 0.6663)  5 O 2.11-2.22
Mg (0.6771, 0.9881, 0.3337)  5 O 2.11-2.22
Mg (0.9881, 0.6771, 0.8337)  5 O 2.11-2.22
V (0.0000, 0.5000, 0.0000)  4 O 2.10-2.22
V (0.1316, 0.6910, 0.5381)  4 O 2.10-2.22
V (0.1676, 0.8324, 0.7500)  4 O 2.08
V (0.3090, 0.8684, 0.9619)  4 O 2.10-2.22
V (0.5000, 0.0000, 0.5000)  4 O 2.10-2.22
V (0.6910, 0.1316, 0.0381)  4 O 2.10-2.22
V (0.8324, 0.1676, 0.2500)  4 O 2.08
V (0.8684, 0.3090, 0.4619)  4 O 2.10-2.22
P (0.0162, 0.4320, 0.3683)  4 O 1.55-1.56
P (0.2731, 0.6826, 0.3800)  4 O 1.53-1.57
P (0.3174, 0.7269, 0.1200)  4 O 1.53-1.57
P (0.4320, 0.0162, 0.8683)  4 O 1.55-1.56
P (0.5680, 0.9838, 0.1317)  4 O 1.55-1.56
P (0.6826, 0.2731, 0.8800)  4 O 1.53-1.57
P (0.7269, 0.3174, 0.6200)  4 O 1.53-1.57
P (0.9838, 0.5680, 0.6317)  4 O 1.55-1.56
O (0.0811, 0.7699, 0.4253)  1 P 1.55
O (0.0879, 0.6633, 0.6426)  1 P 1.55
O (0.0875, 0.8003, 0.2950)  1 P 1.53
O (0.0978, 0.4401, 0.7104)  1 P 1.55
O (0.1130, 0.3289, 0.5523)  1 P 1.56
O (0.1740, 0.3559, 0.8879)  1 P 1.55
O (0.1943, 0.6383, 0.0596)  1 P 1.57
O (0.1997, 0.9125, 0.2050)  1 P 1.53
O (0.2301, 0.9189, 0.0747)  1 P 1.55
O (0.3289, 0.1130, 0.0523)  1 P 1.56
O (0.3367, 0.9121, 0.8574)  1 P 1.55
O (0.3399, 0.5720, 0.8651)  1 P 1.57
O (0.3559, 0.1740, 0.3879)  1 P 1.55
O (0.3617, 0.8057, 0.4404)  1 P 1.57
O (0.4280, 0.6601, 0.6349)  1 P 1.57
O (0.4401, 0.0978, 0.2104)  1 P 1.55
O (0.5599, 0.9022, 0.7896)  1 P 1.55
O (0.5720, 0.3399, 0.3651)  1 P 1.57
O (0.6383, 0.1943, 0.5596)  1 P 1.57
O (0.6441, 0.8260, 0.6121)  1 P 1.55
O (0.6601, 0.4280, 0.1349)  1 P 1.57
O (0.6633, 0.0879, 0.1426)  1 P 1.55
O (0.6711, 0.8870, 0.9477)  1 P 1.56
O (0.7699, 0.0811, 0.9253)  1 P 1.55
O (0.8003, 0.0875, 0.7950)  1 P 1.53
O (0.8057, 0.3617, 0.9404)  1 P 1.57
O (0.8260, 0.6441, 0.1121)  1 P 1.55
O (0.8870, 0.6711, 0.4477)  1 P 1.56
O (0.9022, 0.5599, 0.2896)  1 P 1.55
O (0.9125, 0.1997, 0.7050)  1 P 1.53
O (0.9121, 0.3367, 0.3574)  1 P 1.55
O (0.9189, 0.2301, 0.5747)  1 P 1.55

Here is a geometry-optimized Co3P2H8O12 structure from Alexandria via LeMat-Bulk. Energies are from PBE with a Hubbard U.

Results
* VASP energy: -5.92 eV/atom
* total moment: 9.00 μB/f.u.
* space group: Pnma, No. 62

a b c (Å): 10.8369 18.7820 5.0975
angles (deg): 90.00 90.00 90.00
Closest atoms and distances in Å follow each position.
Sites, in units of the cell vectors:
Co (0.1462, 0.0013, 0.2260)  4 O 1.95-2.01
Co (0.1462, 0.4987, 0.2260)  4 O 1.95-2.01
Co (0.2383, 0.7500, 0.6131)  6 O 2.05-2.20
Co (0.2617, 0.2500, 0.1131)  6 O 2.05-2.20
Co (0.3538, 0.5013, 0.7260)  4 O 1.95-2.01
Co (0.3538, 0.9987, 0.7260)  4 O 1.95-2.01
Co (0.6462, 0.0013, 0.2740)  4 O 1.95-2.01
Co (0.6462, 0.4987, 0.2740)  4 O 1.95-2.01
Co (0.7383, 0.7500, 0.8869)  6 O 2.05-2.20
Co (0.7617, 0.2500, 0.3869)  6 O 2.05-2.20
Co (0.8538, 0.5013, 0.7740)  4 O 1.95-2.01
Co (0.8538, 0.9987, 0.7740)  4 O 1.95-2.01
P (0.1066, 0.5956, 0.7411)  4 O 1.53-1.60
P (0.1066, 0.9044, 0.7411)  4 O 1.53-1.60
P (0.3934, 0.0956, 0.2411)  4 O 1.53-1.60
P (0.3934, 0.4044, 0.2411)  4 O 1.53-1.60
P (0.6066, 0.5956, 0.7589)  4 O 1.53-1.60
P (0.6066, 0.9044, 0.7589)  4 O 1.53-1.60
P (0.8934, 0.0956, 0.2589)  4 O 1.53-1.60
P (0.8934, 0.4044, 0.2589)  4 O 1.53-1.60
H (0.0312, 0.2500, 0.3347)  1 O 0.98
H (0.1052, 0.1432, 0.9856)  1 O 1.00
H (0.1052, 0.3568, 0.9856)  1 O 1.00
H (0.1117, 0.7095, 0.1608)  1 O 0.99
H (0.1117, 0.7905, 0.1608)  1 O 0.99
H (0.1252, 0.2500, 0.5690)  1 O 0.98
H (0.2334, 0.1373, 0.8468)  1 O 0.99
H (0.2334, 0.3627, 0.8468)  1 O 0.99
H (0.2666, 0.6373, 0.3468)  1 O 0.99
H (0.2666, 0.8627, 0.3468)  1 O 0.99
H (0.3748, 0.7500, 0.0690)  1 O 0.98
H (0.3883, 0.2095, 0.6608)  1 O 0.99
H (0.3883, 0.2905, 0.6608)  1 O 0.99
H (0.3948, 0.6432, 0.4856)  1 O 1.00
H (0.3948, 0.8568, 0.4856)  1 O 1.00
H (0.4688, 0.7500, 0.8347)  1 O 0.98
H (0.5312, 0.2500, 0.1653)  1 O 0.98
H (0.6052, 0.1432, 0.5144)  1 O 1.00
H (0.6052, 0.3568, 0.5144)  1 O 1.00
H (0.6117, 0.7095, 0.3392)  1 O 0.99
H (0.6117, 0.7905, 0.3392)  1 O 0.99
H (0.6252, 0.2500, 0.9310)  1 O 0.98
H (0.7334, 0.1373, 0.6532)  1 O 0.99
H (0.7334, 0.3627, 0.6532)  1 O 0.99
H (0.7666, 0.6373, 0.1532)  1 O 0.99
H (0.7666, 0.8627, 0.1532)  1 O 0.99
H (0.8748, 0.7500, 0.4310)  1 O 0.98
H (0.8883, 0.2095, 0.8392)  1 O 0.99
H (0.8883, 0.2905, 0.8392)  1 O 0.99
H (0.8948, 0.6432, 0.0144)  1 O 1.00
H (0.8948, 0.8568, 0.0144)  1 O 1.00
H (0.9688, 0.7500, 0.6653)  1 O 0.98
O (0.0246, 0.0756, 0.1620)  1 P 1.55
O (0.0246, 0.4244, 0.1620)  1 P 1.55
O (0.1063, 0.7500, 0.2845)  2 H 0.99
O (0.1192, 0.2500, 0.3772)  2 H 0.98
O (0.1235, 0.5839, 0.4419)  1 P 1.55
O (0.1235, 0.9161, 0.4419)  1 P 1.55
O (0.1338, 0.6729, 0.8166)  1 P 1.53
O (0.1338, 0.8271, 0.8166)  1 P 1.53
O (0.1666, 0.1715, 0.8846)  2 H 0.99-1.00
O (0.1666, 0.3285, 0.8846)  2 H 0.99-1.00
O (0.1992, 0.5423, 0.8845)  1 P 1.60
O (0.1992, 0.9577, 0.8845)  1 P 1.60
O (0.3008, 0.0423, 0.3845)  1 P 1.60
O (0.3008, 0.4577, 0.3845)  1 P 1.60
O (0.3334, 0.6715, 0.3846)  2 H 0.99-1.00
O (0.3334, 0.8285, 0.3846)  2 H 0.99-1.00
O (0.3662, 0.1729, 0.3166)  1 P 1.53
O (0.3662, 0.3271, 0.3166)  1 P 1.53
O (0.3765, 0.0839, 0.9419)  1 P 1.55
O (0.3765, 0.4161, 0.9419)  1 P 1.55
O (0.3808, 0.7500, 0.8772)  2 H 0.98
O (0.3937, 0.2500, 0.7845)  2 H 0.99
O (0.4754, 0.5756, 0.6620)  1 P 1.55
O (0.4754, 0.9244, 0.6620)  1 P 1.55
O (0.5246, 0.0756, 0.3380)  1 P 1.55
O (0.5246, 0.4244, 0.3380)  1 P 1.55
O (0.6063, 0.7500, 0.2155)  2 H 0.99
O (0.6192, 0.2500, 0.1228)  2 H 0.98
O (0.6235, 0.5839, 0.0581)  1 P 1.55
O (0.6235, 0.9161, 0.0581)  1 P 1.55
O (0.6338, 0.6729, 0.6834)  1 P 1.53
O (0.6338, 0.8271, 0.6834)  1 P 1.53
O (0.6666, 0.1715, 0.6154)  2 H 0.99-1.00
O (0.6666, 0.3285, 0.6154)  2 H 0.99-1.00
O (0.6992, 0.5423, 0.6155)  1 P 1.60
O (0.6992, 0.9577, 0.6155)  1 P 1.60
O (0.8008, 0.0423, 0.1155)  1 P 1.60
O (0.8008, 0.4577, 0.1155)  1 P 1.60
O (0.8334, 0.6715, 0.1154)  2 H 0.99-1.00
O (0.8334, 0.8285, 0.1154)  2 H 0.99-1.00
O (0.8662, 0.1729, 0.1834)  1 P 1.53
O (0.8662, 0.3271, 0.1834)  1 P 1.53
O (0.8765, 0.0839, 0.5581)  1 P 1.55
O (0.8765, 0.4161, 0.5581)  1 P 1.55
O (0.8808, 0.7500, 0.6228)  2 H 0.98
O (0.8937, 0.2500, 0.7155)  2 H 0.99
O (0.9754, 0.5756, 0.8380)  1 P 1.55
O (0.9754, 0.9244, 0.8380)  1 P 1.55